Computed, not measured: a geometry-optimized RbNa4Pb structure at the PBE level of DFT.

Lattice parameters (Å, degrees): 8.0385 8.0385 9.9994 66.26 66.26 89.92
Last column: nearest neighbours and their distance in Å.
Fractional positions:
Na 0.3345 0.5045 0.6610  1 Na 3.28, 2 Pb 3.28
Na 0.6655 0.4955 0.3390  1 Na 3.28, 2 Pb 3.28
Na 0.9955 0.1655 0.3390  1 Na 3.28, 2 Pb 3.28
Na 0.1656 0.6656 0.3392  1 Na 3.28, 2 Pb 3.28
Na 0.4952 0.9952 0.3392  2 Pb 3.28, 1 Na 3.28
Na 0.8344 0.3344 0.6608  1 Na 3.28, 2 Pb 3.28
Na 0.0045 0.8345 0.6610  1 Na 3.28, 2 Pb 3.28
Na 0.5048 0.0048 0.6609  2 Pb 3.28, 1 Na 3.28
Rb 0.5000 0.5000 0.0000  8 Na 4.10, 2 Pb 4.11
Rb 0.0000 0.0000 0.0000  8 Na 4.10, 2 Pb 4.11
Pb 0.7500 0.7500 0.5000  8 Na 3.28
Pb 0.2500 0.2500 0.5000  8 Na 3.28

Calculated values
- DOS at the Fermi energy (states/eV/f.u.) = 3.83
- magnetic moment (μB/f.u.) = 0.00
- excess energy over the best structure of this formula in the dataset (meV per atom) = 11.8
- DFT formation energy (eV/atom) = -0.044